PmLu2N, optimized geometry, DFT PBE; formation energy from raw total energies = -0.208 eV per atom; V = 21.246 A^3/atom; raw total energy = -22.95 eV/cell; SG = No. 123; spin magnetization = 0.0 μB/f.u.; DOS at the Fermi energy = 0.967 states/eV/atom
1.0
3.1207 0.0000 0.0000
0.0000 3.1207 0.0000
0.0000 0.0000 8.7264
Pm Lu N
1 2 1
Direct
0.0000 0.0000 0.0000 Pm
0.5000 0.5000 0.3399 Lu
0.5000 0.5000 0.6601 Lu
0.0000 0.0000 0.5000 N

=====

Cs2In7Hg12, optimized geometry, DFT PBE; V = 30.437 A^3/atom; raw total energy = -26.30 eV/cell; SG = No. 147; spin magnetization = 0.0 μB/f.u.; DOS at the Fermi energy = 0.378 states/eV/atom
1.0
11.6067 0.0000 0.0000
-5.8033 10.0517 0.0000
0.0000 0.0000 5.4786
Cs In Hg
2 7 12
Direct
0.3333 0.6667 0.2755 Cs
0.6667 0.3333 0.7245 Cs
0.0000 0.0000 0.0000 In
0.1154 0.7505 0.8109 In
0.2495 0.3649 0.8109 In
0.3649 0.1154 0.1891 In
0.6351 0.8846 0.8109 In
0.7505 0.6351 0.1891 In
0.8846 0.2495 0.1891 In
0.0541 0.4657 0.7432 Hg
0.1072 0.8559 0.3141 Hg
0.1441 0.2513 0.3141 Hg
0.2513 0.1072 0.6859 Hg
0.4116 0.9459 0.7432 Hg
0.4657 0.4116 0.2568 Hg
0.5343 0.5884 0.7432 Hg
0.5884 0.0541 0.2568 Hg
0.7487 0.8928 0.3141 Hg
0.8559 0.7487 0.6859 Hg
0.8928 0.1441 0.6859 Hg
0.9459 0.5343 0.2568 Hg

=====

NaMgPtAu, optimized geometry, DFT PBE; V = 18.000 A^3/atom; raw total energy = -13.63 eV/cell; SG = No. 216; spin magnetization = 0.0 μB/f.u.; DOS at the Fermi energy = 0.430 states/eV/atom
1.0
0.0000 3.3019 3.3019
3.3019 0.0000 3.3019
3.3019 3.3019 0.0000
Na Mg Pt Au
1 1 1 1
Direct
0.0000 0.0000 0.0000 Na
0.2500 0.2500 0.2500 Mg
0.5000 0.5000 0.5000 Pt
0.7500 0.7500 0.7500 Au

=====

LiCd3Sn3, optimized geometry, DFT PBE; V = 36.834 A^3/atom; raw total energy = -28.70 eV/cell; SG = No. 223; spin magnetization = 0.0 μB/f.u.; DOS at the Fermi energy = 0.621 states/eV/atom
1.0
8.0191 0.0000 0.0000
0.0000 8.0191 0.0000
0.0000 0.0000 8.0191
Li Cd Sn
2 6 6
Direct
0.0000 0.0000 0.0000 Li
0.5000 0.5000 0.5000 Li
0.0000 0.2500 0.5000 Cd
0.0000 0.7500 0.5000 Cd
0.2500 0.5000 0.0000 Cd
0.5000 0.0000 0.2500 Cd
0.5000 0.0000 0.7500 Cd
0.7500 0.5000 0.0000 Cd
0.0000 0.5000 0.2500 Sn
0.0000 0.5000 0.7500 Sn
0.2500 0.0000 0.5000 Sn
0.5000 0.2500 0.0000 Sn
0.5000 0.7500 0.0000 Sn
0.7500 0.0000 0.5000 Sn

=====

Cs2Nd2HfS6, optimized geometry, DFT PBE; formation energy from raw total energies = -1.768 eV per atom; V = 31.926 A^3/atom; raw total energy = -65.40 eV/cell; SG = No. 12; spin magnetization = 0.0 μB/f.u.; DOS at the Fermi energy = 0.000 states/eV/atom
1.0
3.5255 -6.0391 0.0000
3.5255 6.0391 0.0000
-2.4190 0.0000 8.2474
Cs Nd Hf S
2 2 1 6
Direct
0.1707 0.8293 0.0000 Cs
0.8293 0.1707 0.0000 Cs
0.3335 0.6665 0.5000 Nd
0.6665 0.3335 0.5000 Nd
0.0000 0.0000 0.5000 Hf
0.0612 0.3674 0.6780 S
0.2418 0.2418 0.3230 S
0.3674 0.0612 0.6780 S
0.6326 0.9388 0.3220 S
0.7582 0.7582 0.6770 S
0.9388 0.6326 0.3220 S

=====

ZnInAuCl, optimized geometry, DFT PBE; formation energy from raw total energies = -0.383 eV per atom; excess energy over the best structure of this formula in the dataset = 0.017 eV/atom; V = 25.813 A^3/atom; raw total energy = -10.67 eV/cell; SG = No. 6; spin magnetization = 0.0 μB/f.u.; DOS at the Fermi energy = 0.168 states/eV/atom
1.0
3.7869 0.0000 0.0000
0.0000 3.5510 0.0000
-0.0356 0.0000 7.6785
Zn In Au Cl
1 1 1 1
Direct
0.0000 0.0000 0.0000 Zn
0.9963 0.5000 0.6072 In
0.4977 0.0000 0.7652 Au
0.0029 0.5000 0.2091 Cl